[1]
Dy2Y2CBr4Cl after structural relaxation, computed with PBE-GGA.

For the total magnetization, the calculation gives 0.10 μB/f.u. The crystal system is monoclinic. Its space group is No. 12. The value obtained for the electronic total energy is -54.7 eV/cell.

```
10
Lattice="8.9113 -1.8932 0.0000 8.9113 1.8932 0.0000 -1.7711 0.0000 7.7032" Properties=species:S:1:pos:R:3 pbc="T T T"
Y -1.3838 0.0000 6.0963
Y 17.4353 0.0000 1.6068
C 8.9113 0.0000 0.0000
Dy 4.8091 0.0000 7.1317
Dy 11.2424 0.0000 0.5715
Br 1.5735 0.0000 6.3472
Br 14.4780 0.0000 1.3559
Br 13.7510 0.0000 5.0051
Br 2.3005 0.0000 2.6980
Cl 8.0258 0.0000 3.8516
```


[2]
Tb3Mg2Sb3O14 after structural relaxation, computed with PBE-GGA.

For the total magnetization, the calculation gives 0.00 μB/f.u. The crystal system is trigonal. Its space group is No. 166. The value obtained for the electronic total energy is -153.2 eV/cell.

```
22
Lattice="4.2080 3.4700 4.6125 6.1346 -3.0873 1.9642 6.1152 2.7784 -2.4308" Properties=species:S:1:pos:R:3 pbc="T T T"
Tb 6.1249 -0.1545 -0.2333
Tb 5.1713 0.1913 3.2884
Tb 5.1616 3.1242 1.0908
O 8.9930 -0.7808 2.5117
O 7.8602 3.0748 4.0689
O 3.8612 2.2439 2.9776
O 8.5976 0.0863 0.0771
O 4.9486 -1.4569 1.4830
O 4.9376 1.8535 -0.9975
O 11.5202 1.3075 5.1434
O 11.5092 4.6180 2.6629
O 7.4648 3.9419 1.6342
O 12.5966 0.9172 1.1683
O 10.1378 1.9472 2.5538
O 8.9815 2.6681 -0.0725
O 7.4763 0.4929 4.2184
O 6.3200 1.2139 1.5921
Mg 0.0000 0.0000 0.0000
Mg 8.2289 1.5805 2.0730
Sb 3.0576 1.3892 -1.2154
Sb 2.1040 1.7350 2.3062
Sb 3.0673 -1.5436 0.9821
```


[3]
TbTmRe after structural relaxation, computed with PBE-GGA.

For the total magnetization, the calculation gives 0.02 μB/f.u. For the energy relative to the elements, the calculation gives 1.101 eV/atom. The crystal system is cubic. Its space group is No. 216. The value obtained for the electronic total energy is -18.2 eV/cell.

```
3
Lattice="2.8657 -3.6436 -1.0252 -1.6060 -4.4540 0.3480 -0.7387 -2.5702 -3.9226" Properties=species:S:1:pos:R:3 pbc="T T T"
Re 0.1302 -2.6670 -1.1500
Tb 0.3907 -8.0009 -3.4499
Tm 0.0000 0.0000 0.0000
```


[4]
PrDy2Hg5 after structural relaxation, computed with PBE-GGA.

For the total magnetization, the calculation gives 0.00 μB/f.u. For the energy relative to the elements, the calculation gives -0.448 eV/atom. The crystal system is tetragonal. Its space group is No. 139. The value obtained for the electronic total energy is -19.1 eV/cell.

```
8
Lattice="-2.6245 2.6245 7.3461 2.6245 -2.6245 7.3461 2.6245 2.6245 -7.3461" Properties=species:S:1:pos:R:3 pbc="T T T"
Hg 2.6245 0.0000 5.4491
Hg 0.0000 2.6245 5.4491
Hg 0.0000 0.0000 7.3461
Hg 2.6245 0.0000 1.8970
Hg 0.0000 2.6245 1.8970
Dy 0.0000 0.0000 10.7627
Dy 0.0000 0.0000 3.9294
Pr 0.0000 0.0000 0.0000
```


[5]
MgCd3Si2Ir2 after structural relaxation, computed with PBE-GGA.

For the total magnetization, the calculation gives 0.01 μB/f.u. The crystal system is trigonal. Its space group is No. 156. The value obtained for the electronic total energy is -35.5 eV/cell.

```
8
Lattice="4.2074 0.0000 0.0000 -2.1037 3.6437 0.0000 0.0000 0.0000 9.1333" Properties=species:S:1:pos:R:3 pbc="T T T"
Si 2.1037 1.2146 6.9241
Si 2.1037 1.2146 2.2249
Mg 0.0000 0.0000 8.3902
Cd 0.0000 2.4291 3.8699
Cd 0.0000 2.4291 0.6637
Cd 0.0000 0.0000 5.2939
Ir 0.0000 0.0000 2.2470
Ir 0.0000 2.4291 6.9194
```


[6]
ScGa5Fe3 after structural relaxation, computed with PBE-GGA.

For the total magnetization, the calculation gives 7.20 μB/f.u. The crystal system is monoclinic. Its space group is No. 3. The value obtained for the electronic total energy is -40.7 eV/cell.

```
9
Lattice="5.8122 0.0000 0.0000 0.0000 5.8435 0.0000 -0.0764 0.0000 5.8363" Properties=species:S:1:pos:R:3 pbc="T T T"
Ga 4.3368 4.5383 4.3309
Ga 1.3175 1.4980 4.3086
Ga -0.0382 0.0385 2.9182
Ga 1.3991 4.5383 1.5055
Ga 4.4184 1.4980 1.5277
Fe 0.0000 0.1067 0.0000
Fe 2.8679 0.1194 2.9182
Fe -0.0382 3.0541 2.9182
Sc 2.9061 3.0158 0.0000
```


[7]
TmCuIr after structural relaxation, computed with PBE-GGA.

For the total magnetization, the calculation gives 0.01 μB/f.u. For the energy relative to the elements, the calculation gives -0.186 eV/atom. Its energy above the most stable polymorph in this dataset is 0.0 meV per atom. The crystal system is cubic. Its space group is No. 216. The value obtained for the electronic total energy is -17.6 eV/cell.

```
3
Lattice="4.3683 0.4301 0.5141 1.6958 0.6697 4.0258 2.3173 -3.1991 1.9818" Properties=species:S:1:pos:R:3 pbc="T T T"
Ir 2.0953 -0.5248 1.6304
Tm 4.1907 -1.0497 3.2609
Cu 0.0000 0.0000 0.0000
```


[8]
Be2Tc2O5 after structural relaxation, computed with PBE-GGA.

For the total magnetization, the calculation gives 0.04 μB/f.u. Its energy above the most stable polymorph in this dataset is 733.0 meV per atom. The crystal system is tetragonal. Its space group is No. 123. The value obtained for the electronic total energy is -57.3 eV/cell.

```
9
Lattice="-0.4373 -4.6209 4.4027 1.3919 -2.5543 -2.5426 3.5944 0.7841 1.1800" Properties=species:S:1:pos:R:3 pbc="T T T"
Tc 2.1327 -4.6945 2.9482
Tc 2.4164 -1.6966 0.0919
O 1.4514 -3.2617 4.0713
O 2.2745 -3.1956 1.5200
O 0.6044 -2.2443 -0.3499
O 1.7057 -0.5750 1.5114
O 0.3502 -4.9310 2.2100
Be 0.0000 0.0000 0.0000
Be -0.2186 -2.3104 2.2014
```